# 1
Here is Ir2PtSe after structural relaxation from Alexandria via LeMat-Bulk. Energies are from PBE.

It has space group Cmmm (No. 65), with a = 5.7512 Å, b = 7.4861 Å, c = 2.8846 Å, α = 90.00°, β = 90.00° and γ = 90.00°. The distinct sites, in fractional coordinates, are Ir at (0.2500, 0.2500, 0.0000), Pt at (0.0000, 0.0000, 0.5000) and Se at (0.0000, 0.5000, 0.5000).

For the energy relative to the elements, uncorrected, the calculation gives 0.394 eV per atom. As for the magnetic moment: 0.00 μB/f.u.

=====

# 2
Here is IrPtSe after structural relaxation from Alexandria via LeMat-Bulk. Energies are from PBE.

It has space group Imm2 (No. 44), with a = 2.9118 Å, b = 3.7701 Å, c = 9.0412 Å, α = 90.00°, β = 90.00° and γ = 90.00°. The distinct sites, in fractional coordinates, are Ir at (0.0000, 0.0000, 0.0000), Pt at (0.0000, 0.0000, 0.6791) and Se at (0.0000, 0.0000, 0.3912).

The value obtained for the energy above the most stable polymorph in this dataset is 131 meV per atom. For the energy relative to the elements, uncorrected, the calculation gives 0.355 eV per atom. As for the magnetic moment: 0.00 μB/f.u.

=====

# 3
Here is IrPt2Se after structural relaxation from Alexandria via LeMat-Bulk. Energies are from PBE.

It has space group Imm2 (No. 44), with a = 2.8216 Å, b = 4.7641 Å, c = 9.6339 Å, α = 90.00°, β = 90.00° and γ = 90.00°. The distinct sites, in fractional coordinates, are Ir at (0.0000, 0.0000, 0.0000), Pt at (0.0000, 0.0000, 0.5170), Pt at (0.0000, 0.5000, 0.7502) and Se at (0.0000, 0.5000, 0.2830).

For the energy relative to the elements, uncorrected, the calculation gives 0.251 eV per atom. As for the magnetic moment: 0.00 μB/f.u.

=====

# 4
Here is IrPt2Se after structural relaxation from Alexandria via LeMat-Bulk. Energies are from PBE.

It has space group I-42d (No. 122), with a = 5.1885 Å, b = 5.1885 Å, c = 13.2369 Å, α = 90.00°, β = 90.00° and γ = 90.00°. The distinct sites, in fractional coordinates, are Ir at (0.0000, 0.0000, 0.0000), Pt at (0.2443, 0.2500, 0.6250) and Se at (0.0000, 0.0000, 0.5000).

For the energy relative to the elements, uncorrected, the calculation gives 0.649 eV per atom. As for the magnetic moment: 0.00 μB/f.u.

=====

# 5
Here is IrPt2Se after structural relaxation from Alexandria via LeMat-Bulk. Energies are from PBE.

It has space group Cmm2 (No. 35), with a = 2.7853 Å, b = 4.8857 Å, c = 9.5740 Å, α = 90.00°, β = 90.00° and γ = 90.00°. The distinct sites, in fractional coordinates, are Ir at (0.0000, 0.0000, 0.0000), Pt at (0.0000, 0.0000, 0.4979), Pt at (0.0000, 0.5000, 0.2449) and Se at (0.0000, 0.5000, 0.7730).

For the energy relative to the elements, uncorrected, the calculation gives 0.314 eV per atom. As for the magnetic moment: 0.00 μB/f.u.

=====

# 6
Here is Ir2PtSe after structural relaxation from Alexandria via LeMat-Bulk. Energies are from PBE.

It has space group R3m (No. 160, hexagonal axes), with a = 2.8735 Å, b = 2.8735 Å, c = 26.3564 Å, α = 90.00°, β = 90.00° and γ = 120.00°. The distinct sites, in fractional coordinates, are Ir at (0.0000, 0.0000, 0.0000), Ir at (0.0000, 0.0000, 0.2514), Pt at (0.0000, 0.0000, 0.4992) and Se at (0.0000, 0.0000, 0.7437).

For the energy relative to the elements, uncorrected, the calculation gives 0.322 eV per atom. As for the magnetic moment: 0.59 μB/f.u.

=====

# 7
Here is IrPt2Se after structural relaxation from Alexandria via LeMat-Bulk. Energies are from PBE.

It has space group Pmmm (No. 47), with a = 2.8178 Å, b = 4.7542 Å, c = 4.8017 Å, α = 90.00°, β = 90.00° and γ = 90.00°. The distinct sites, in fractional coordinates, are Ir at (0.0000, 0.0000, 0.0000), Pt at (0.0000, 0.5000, 0.5000), Pt at (0.5000, 0.0000, 0.5000) and Se at (0.5000, 0.5000, 0.0000).

For the energy relative to the elements, uncorrected, the calculation gives 0.311 eV per atom. As for the magnetic moment: 0.00 μB/f.u.

=====

# 8
Here is Ir2PtSe after structural relaxation from Alexandria via LeMat-Bulk. Energies are from PBE.

It has space group Immm (No. 71), with a = 2.8262 Å, b = 4.6887 Å, c = 9.4462 Å, α = 90.00°, β = 90.00° and γ = 90.00°. The distinct sites, in fractional coordinates, are Ir at (0.0000, 0.0000, 0.2326), Pt at (0.0000, 0.5000, 0.0000) and Se at (0.0000, 0.5000, 0.5000).

For the energy relative to the elements, uncorrected, the calculation gives 0.380 eV per atom. As for the magnetic moment: 0.00 μB/f.u.

=====

# 9
Here is IrPtSe4 after structural relaxation from Alexandria via LeMat-Bulk. Energies are from PBE.

It has space group P2/m (No. 10), with a = 5.1315 Å, b = 3.7711 Å, c = 6.5295 Å, α = 90.00°, β = 90.35° and γ = 90.00°. The distinct sites, in fractional coordinates, are Ir at (0.0000, 0.0000, 0.0000), Pt at (0.0000, 0.5000, 0.5000), Se at (0.2475, 0.0000, 0.3300) and Se at (0.2497, 0.5000, 0.8402).

The value obtained for the energy above the most stable polymorph in this dataset is 0 meV per atom. For the energy relative to the elements, uncorrected, the calculation gives -0.349 eV per atom. As for the magnetic moment: 0.00 μB/f.u.

=====

# 10
Here is Sm4IrPtSe2 after structural relaxation from Alexandria via LeMat-Bulk. Energies are from PBE.

It has space group P2/m (No. 10), with a = 7.0679 Å, b = 4.0915 Å, c = 7.5911 Å, α = 90.00°, β = 108.14° and γ = 90.00°. The distinct sites, in fractional coordinates, are Sm at (0.2368, 0.0000, 0.2286), Sm at (0.2511, 0.5000, 0.7706), Ir at (0.0000, 0.5000, 0.0000), Pt at (0.5000, 0.0000, 0.0000), Se at (0.0000, 0.0000, 0.5000) and Se at (0.5000, 0.5000, 0.5000).

For the energy relative to the elements, uncorrected, the calculation gives -1.334 eV per atom. As for the magnetic moment: 0.00 μB/f.u.

=====

# 11
Here is SnIrPtSe after structural relaxation from Alexandria via LeMat-Bulk. Energies are from PBE.

It has space group Pm (No. 6), with a = 3.9815 Å, b = 3.7275 Å, c = 5.4431 Å, α = 90.00°, β = 105.25° and γ = 90.00°. The distinct sites, in fractional coordinates, are Sn at (0.0000, 0.0000, 0.0000), Ir at (0.3011, 0.0000, 0.5222), Pt at (0.4660, 0.5000, 0.9108) and Se at (0.6117, 0.5000, 0.3953).

The value obtained for the energy above the most stable polymorph in this dataset is 129 meV per atom. For the energy relative to the elements, uncorrected, the calculation gives -0.037 eV per atom. As for the magnetic moment: 0.00 μB/f.u.

=====

# 12
Here is SnIrPtSe after structural relaxation from Alexandria via LeMat-Bulk. Energies are from PBE.

It has space group Cm (No. 8), with a = 7.7043 Å, b = 3.8382 Å, c = 5.6276 Å, α = 90.00°, β = 103.27° and γ = 90.00°. The distinct sites, in fractional coordinates, are Sn at (0.0000, 0.0000, 0.0000), Ir at (0.1887, 0.5000, 0.2977), Pt at (0.1592, 0.5000, 0.7784) and Se at (0.4032, 0.0000, 0.4261).

The value obtained for the energy above the most stable polymorph in this dataset is 0 meV per atom. For the energy relative to the elements, uncorrected, the calculation gives -0.166 eV per atom. As for the magnetic moment: 0.00 μB/f.u.

=====

# 13
Here is SnIrPtSe after structural relaxation from Alexandria via LeMat-Bulk. Energies are from PBE.

It has space group R3m (No. 160, hexagonal axes), with a = 4.0179 Å, b = 4.0179 Å, c = 17.9379 Å, α = 90.00°, β = 90.00° and γ = 120.00°. The distinct sites, in fractional coordinates, are Sn at (0.0000, 0.0000, 0.0000), Ir at (0.0000, 0.0000, 0.8349), Pt at (0.0000, 0.0000, 0.4028) and Se at (0.0000, 0.0000, 0.5432).

The value obtained for the energy above the most stable polymorph in this dataset is 117 meV per atom. For the energy relative to the elements, uncorrected, the calculation gives -0.049 eV per atom. As for the magnetic moment: 0.00 μB/f.u.

=====

# 14
Here is SnIrPtSe after structural relaxation from Alexandria via LeMat-Bulk. Energies are from PBE.

It has space group Cm (No. 8), with a = 7.5546 Å, b = 3.8791 Å, c = 5.4520 Å, α = 90.00°, β = 97.05° and γ = 90.00°. The distinct sites, in fractional coordinates, are Sn at (0.0000, 0.0000, 0.0000), Ir at (0.2173, 0.5000, 0.2361), Pt at (0.1426, 0.5000, 0.7288) and Se at (0.3260, 0.0000, 0.4994).

The value obtained for the energy above the most stable polymorph in this dataset is 14 meV per atom. For the energy relative to the elements, uncorrected, the calculation gives -0.152 eV per atom. As for the magnetic moment: 0.00 μB/f.u.

=====

# 15
Here is SnIrPtSe after structural relaxation from Alexandria via LeMat-Bulk. Energies are from PBE.

It has space group Cm (No. 8), with a = 7.2501 Å, b = 3.9590 Å, c = 5.5099 Å, α = 90.00°, β = 96.11° and γ = 90.00°. The distinct sites, in fractional coordinates, are Sn at (0.0000, 0.0000, 0.0000), Ir at (0.1479, 0.5000, 0.7426), Pt at (0.2004, 0.5000, 0.2541) and Se at (0.3165, 0.0000, 0.5450).

The value obtained for the energy above the most stable polymorph in this dataset is 2 meV per atom. For the energy relative to the elements, uncorrected, the calculation gives -0.164 eV per atom. As for the magnetic moment: 0.00 μB/f.u.

=====

# 16
Here is SnIrPtSe after structural relaxation from Alexandria via LeMat-Bulk. Energies are from PBE.

It has space group Cm (No. 8), with a = 9.2315 Å, b = 3.6999 Å, c = 6.0048 Å, α = 90.00°, β = 126.67° and γ = 90.00°. The distinct sites, in fractional coordinates, are Sn at (0.0000, 0.0000, 0.0000), Ir at (0.1781, 0.5000, 0.9147), Pt at (0.3668, 0.0000, 0.3393) and Se at (0.0994, 0.0000, 0.5753).

The value obtained for the energy above the most stable polymorph in this dataset is 71 meV per atom. For the energy relative to the elements, uncorrected, the calculation gives -0.095 eV per atom. As for the magnetic moment: 0.00 μB/f.u.

=====

# 17
Here is SnIrPtSe after structural relaxation from Alexandria via LeMat-Bulk. Energies are from PBE.

It has space group Cm (No. 8), with a = 6.8245 Å, b = 3.0360 Å, c = 7.6334 Å, α = 90.00°, β = 101.37° and γ = 90.00°. The distinct sites, in fractional coordinates, are Sn at (0.0000, 0.0000, 0.0000), Ir at (0.3851, 0.0000, 0.2647), Pt at (0.1391, 0.5000, 0.7574) and Se at (0.1324, 0.0000, 0.4618).

The value obtained for the energy above the most stable polymorph in this dataset is 237 meV per atom. For the energy relative to the elements, uncorrected, the calculation gives 0.071 eV per atom. As for the magnetic moment: 0.00 μB/f.u.

=====

# 18
Here is SnIrPtSe after structural relaxation from Alexandria via LeMat-Bulk. Energies are from PBE.

It has space group Imm2 (No. 44), with a = 3.3974 Å, b = 3.6230 Å, c = 12.6893 Å, α = 90.00°, β = 90.00° and γ = 90.00°. The distinct sites, in fractional coordinates, are Sn at (0.0000, 0.0000, 0.0000), Ir at (0.0000, 0.0000, 0.6013), Pt at (0.0000, 0.0000, 0.3855) and Se at (0.0000, 0.5000, 0.2405).

The value obtained for the energy above the most stable polymorph in this dataset is 78 meV per atom. For the energy relative to the elements, uncorrected, the calculation gives -0.088 eV per atom. As for the magnetic moment: 0.00 μB/f.u.

=====

# 19
Here is SnIrPtSe after structural relaxation from Alexandria via LeMat-Bulk. Energies are from PBE.

It has space group P4mm (No. 99), with a = 3.5905 Å, b = 3.5905 Å, c = 5.6897 Å, α = 90.00°, β = 90.00° and γ = 90.00°. The distinct sites, in fractional coordinates, are Sn at (0.0000, 0.0000, 0.0000), Ir at (0.0000, 0.0000, 0.5071), Pt at (0.5000, 0.5000, 0.1910) and Se at (0.5000, 0.5000, 0.6209).

The value obtained for the energy above the most stable polymorph in this dataset is 100 meV per atom. For the energy relative to the elements, uncorrected, the calculation gives -0.067 eV per atom. As for the magnetic moment: 0.00 μB/f.u.

=====

# 20
Here is SnIrPtSe after structural relaxation from Alexandria via LeMat-Bulk. Energies are from PBE.

It has space group Cm (No. 8), with a = 8.2907 Å, b = 3.0491 Å, c = 6.8928 Å, α = 90.00°, β = 112.17° and γ = 90.00°. The distinct sites, in fractional coordinates, are Sn at (0.0000, 0.0000, 0.0000), Ir at (0.1449, 0.5000, 0.3591), Pt at (0.1572, 0.5000, 0.7863) and Se at (0.3922, 0.0000, 0.4567).

The value obtained for the energy above the most stable polymorph in this dataset is 68 meV per atom. For the energy relative to the elements, uncorrected, the calculation gives -0.098 eV per atom. As for the magnetic moment: 0.00 μB/f.u.